A plane-wave DFT calculation with PBE+U was carried out for a relaxed BaCoTeO crystal.

density = 3.88 g/cm³
space-group type = No. 129
uncorrected energy = -4.217 eV/atom
magnetization = 0.751 μB/atom

Unit cell a=6.4878 b=6.4878 c=6.9056 alpha=90.00 beta=90.00 gamma=90.00
With the nearest neighbours (Å) after each atom.
Sites, in units of the cell vectors:
Ba1 0.2500 0.7500 0.0000  4 Co 3.42, 4 Te 3.56
Ba2 0.7500 0.2500 0.0000  4 Co 3.42, 4 Te 3.56
Co1 0.2500 0.2500 0.1548  1 O 1.63
Co2 0.7500 0.7500 0.8452  1 O 1.63
Te1 0.2500 0.2500 0.7888  1 Co 2.53, 1 O 2.74
Te2 0.7500 0.7500 0.2112  1 Co 2.53, 1 O 2.74
O1 0.2500 0.2500 0.3916  1 Co 1.63
O2 0.7500 0.7500 0.6084  1 Co 1.63